This record from the Alexandria database describes a relaxed NbCo6Mo crystal. The functional is PBE.

a b c (Å): 6.2658 6.2658 10.2294
angles (deg): 90.00 90.00 109.43
With the nearest neighbours (Å) after each atom.
Atoms (fractional coordinates):
Nb1 0.7486 0.2514 0.0000  12 Co 2.54-2.60
Nb2 0.2514 0.7486 0.0000  12 Co 2.54-2.60
Nb3 0.5000 0.5000 0.7506  12 Co 2.55-2.60
Nb4 0.5000 0.5000 0.2494  12 Co 2.55-2.60
Co1 0.7523 0.2477 0.7460  8 Co 2.51-2.60, 2 Mo 2.52-2.53, 2 Nb 2.58-2.60
Co2 0.1222 0.3699 0.8726  1 Mo 2.52, 8 Co 2.53-2.61, 3 Nb 2.56-2.59
Co3 0.8778 0.6301 0.8726  1 Mo 2.52, 8 Co 2.53-2.61, 3 Nb 2.56-2.59
Co4 0.2477 0.7523 0.7460  8 Co 2.51-2.60, 2 Mo 2.52-2.53, 2 Nb 2.58-2.60
Co5 0.6301 0.8778 0.8726  1 Mo 2.52, 8 Co 2.53-2.61, 3 Nb 2.56-2.59
Co6 0.3699 0.1222 0.8726  1 Mo 2.52, 8 Co 2.53-2.61, 3 Nb 2.56-2.59
Co7 0.5000 0.5000 0.5000  2 Mo 2.54, 2 Nb 2.56, 8 Co 2.57
Co8 0.8797 0.6273 0.6227  8 Co 2.51-2.58, 3 Mo 2.53-2.56, 1 Nb 2.60
Co9 0.6273 0.8797 0.6227  8 Co 2.51-2.58, 3 Mo 2.53-2.56, 1 Nb 2.60
Co10 0.7523 0.2477 0.2540  8 Co 2.51-2.60, 2 Mo 2.52-2.53, 2 Nb 2.58-2.60
Co11 0.1203 0.3727 0.3773  8 Co 2.51-2.58, 3 Mo 2.53-2.56, 1 Nb 2.60
Co12 0.8797 0.6273 0.3773  8 Co 2.51-2.58, 3 Mo 2.53-2.56, 1 Nb 2.60
Co13 0.2477 0.7523 0.2540  8 Co 2.51-2.60, 2 Mo 2.52-2.53, 2 Nb 2.58-2.60
Co14 0.6273 0.8797 0.3773  8 Co 2.51-2.58, 3 Mo 2.53-2.56, 1 Nb 2.60
Co15 0.3727 0.1203 0.3773  8 Co 2.51-2.58, 3 Mo 2.53-2.56, 1 Nb 2.60
Co16 0.5000 0.5000 0.0000  4 Nb 2.54-2.55, 8 Co 2.59
Co17 0.8778 0.6301 0.1274  1 Mo 2.52, 8 Co 2.53-2.61, 3 Nb 2.56-2.59
Co18 0.6301 0.8778 0.1274  1 Mo 2.52, 8 Co 2.53-2.61, 3 Nb 2.56-2.59
Co19 0.0000 0.0000 0.5000  8 Co 2.53, 4 Mo 2.57
Co20 0.3727 0.1203 0.6227  8 Co 2.51-2.58, 3 Mo 2.53-2.56, 1 Nb 2.60
Co21 0.1203 0.3727 0.6227  8 Co 2.51-2.58, 3 Mo 2.53-2.56, 1 Nb 2.60
Co22 0.0000 0.0000 0.0000  8 Co 2.55, 2 Mo 2.55, 2 Nb 2.57
Co23 0.3699 0.1222 0.1274  1 Mo 2.52, 8 Co 2.53-2.61, 3 Nb 2.56-2.59
Co24 0.1222 0.3699 0.1274  1 Mo 2.52, 8 Co 2.53-2.61, 3 Nb 2.56-2.59
Mo1 0.7484 0.2516 0.5000  12 Co 2.52-2.57
Mo2 0.2516 0.7484 0.5000  12 Co 2.52-2.57
Mo3 0.0000 0.0000 0.7510  12 Co 2.52-2.57
Mo4 0.0000 0.0000 0.2490  12 Co 2.52-2.57

## Properties
Theoretical density ... 9.5 g/cm3
Uncorrected energy ... -8.026 eV/atom
Calculated formation energy ... -0.084 eV per atom
M_tot ... 0.136 μB per atom